DFT (PBE) results for a relaxed AlSiRu2 crystal.

Unit cell a=8.0444 b=2.8829 c=4.8972 alpha=90.00 beta=103.73 gamma=90.00
With the nearest neighbours (Å) after each atom.
Element x y z (fractional)
Al (0.0000, 0.0000, 0.0000)  6 Ru 2.55-2.64, 4 Si 2.84
Al (0.5000, 0.5000, 0.0000)  6 Ru 2.55-2.64, 4 Si 2.84
Si (0.0000, 0.5000, 0.5000)  6 Ru 2.45-2.63
Si (0.5000, 0.0000, 0.5000)  6 Ru 2.45-2.63
Ru (0.2369, 0.0000, 0.7330)  3 Si 2.45-2.63, 3 Al 2.55-2.64
Ru (0.2631, 0.5000, 0.2670)  3 Si 2.45-2.63, 3 Al 2.55-2.64
Ru (0.7369, 0.5000, 0.7330)  3 Si 2.45-2.63, 3 Al 2.55-2.64
Ru (0.7631, 0.0000, 0.2670)  3 Si 2.45-2.63, 3 Al 2.55-2.64

Results
- Space group: C2/m, No. 12
- Density of states at the Fermi level: 5.1 states/eV/cell
- Energy above the lowest structure with this stoichiometry: 120 kJ/mol of formula units
- E_form (uncorrected): -405 meV/atom
- Calculated total energy: -7.33 eV/atom